Computed, not measured: a relaxed structure of BaLaTb at the PBE level of DFT.

Geometry as POSCAR:
```
BaLaTb
1.0
0.000 4.132 4.132
4.132 0.000 4.132
4.132 4.132 0.000
Ba La Tb
1 1 1
direct
0.000 0.000 0.000
0.250 0.250 0.250
0.500 0.500 0.500
```

Results
Space group: F-43m, No. 216
Electronic total energy in eV/atom: -2.9942